! PBE-GGA GdErRu, optimized geometry; values from VASP
&SYSTEM
  ibrav = 0, nat = 3, ntyp = 3
/
ATOMIC_SPECIES
Ru 101.07 Ru.upf
Gd 157.25 Gd.upf
Er 167.26 Er.upf
CELL_PARAMETERS angstrom
4.777 0.000 0.000
2.388 4.137 0.000
2.388 1.379 3.900
ATOMIC_POSITIONS angstrom
Ru 2.388 1.379 0.975
Gd 0.000 0.000 0.000
Er 4.777 2.758 1.950
! * symmetry: No. 216
! * ΔE_f: -0.8 eV per formula unit

***

! PBE-GGA Nd4Dy10Ho, optimized geometry; values from VASP
&SYSTEM
  ibrav = 0, nat = 15, ntyp = 3
/
ATOMIC_SPECIES
Nd 144.24 Nd.upf
Dy 162.50 Dy.upf
Ho 164.93 Ho.upf
CELL_PARAMETERS angstrom
-4.156 -6.747 0.663
4.456 -7.139 2.972
-4.004 -1.449 7.844
ATOMIC_POSITIONS angstrom
Nd 1.330 -9.466 7.388
Nd -5.180 -9.914 9.711
Nd 1.475 -5.421 1.767
Nd -5.035 -5.869 4.090
Dy -0.813 -5.981 5.573
Dy -5.180 -7.407 7.297
Dy -0.257 -2.359 2.310
Dy -1.726 -10.180 8.893
Dy -0.247 -10.725 4.455
Dy 1.475 -7.929 4.181
Dy -2.891 -9.354 5.905
Dy -3.458 -4.611 7.022
Dy -1.979 -5.155 2.585
Dy -3.448 -12.976 9.167
Ho 0.000 0.000 0.000
! * symmetry: No. 139
! * ΔE_f: 4.0 eV per formula unit

***

! PBE-GGA KB2AuI, optimized geometry; values from VASP
&SYSTEM
  ibrav = 0, nat = 5, ntyp = 4
/
ATOMIC_SPECIES
I 126.90 I.upf
K 39.10 K.upf
B 10.81 B.upf
Au 196.97 Au.upf
CELL_PARAMETERS angstrom
4.273 0.000 0.000
0.000 8.593 0.000
0.000 0.000 4.273
ATOMIC_POSITIONS angstrom
I 0.000 4.297 0.000
K 2.137 4.297 2.137
B 0.000 0.000 2.137
B 2.137 0.000 0.000
Au 0.000 0.000 0.000
! * symmetry: No. 123
! * formation energy from raw total energies: 661 meV per atom

***

! PBE-GGA NaMgSb2, optimized geometry; values from VASP
&SYSTEM
  ibrav = 0, nat = 4, ntyp = 3
/
ATOMIC_SPECIES
Sb 121.76 Sb.upf
Mg 24.30 Mg.upf
Na 22.99 Na.upf
CELL_PARAMETERS angstrom
-1.701 -2.258 2.286
-2.681 -2.136 -1.213
4.696 -8.083 -1.597
ATOMIC_POSITIONS angstrom
Sb -0.039 -2.992 -0.094
Sb 0.353 -9.484 -0.431
Mg 0.000 0.000 0.000
Na 0.157 -6.238 -0.262
! * symmetry: No. 166
! * formation energy from raw total energies: -223 meV per atom

***

! PBE-GGA Er2PtPb, optimized geometry; values from VASP
&SYSTEM
  ibrav = 0, nat = 4, ntyp = 3
/
ATOMIC_SPECIES
Pb 207.20 Pb.upf
Pt 195.08 Pt.upf
Er 167.26 Er.upf
CELL_PARAMETERS angstrom
-3.718 -1.125 0.440
-1.396 -2.996 -2.087
0.586 -6.604 5.430
ATOMIC_POSITIONS angstrom
Pb -2.264 -5.362 1.891
Pt 0.000 0.000 0.000
Er -1.252 -2.408 0.633
Er -3.276 -8.317 3.150
! * symmetry: No. 166
! * ΔE_f: -3.1 eV per formula unit

***

! PBE-GGA HgAs2Pb, optimized geometry; values from VASP
&SYSTEM
  ibrav = 0, nat = 4, ntyp = 3
/
ATOMIC_SPECIES
Pb 207.20 Pb.upf
As 74.92 As.upf
Hg 200.59 Hg.upf
CELL_PARAMETERS angstrom
5.830 -0.061 0.105
2.476 5.278 -0.105
-3.909 -2.997 3.121
ATOMIC_POSITIONS angstrom
Pb 1.360 2.445 1.508
As 8.218 5.161 0.000
As 4.242 2.664 0.000
Hg 3.037 -0.225 1.613
! * symmetry: No. 71
! * ΔE_f: 1.2 eV per formula unit

***

! PBE-GGA Sc2GaCuH, optimized geometry; values from VASP
&SYSTEM
  ibrav = 0, nat = 5, ntyp = 4
/
ATOMIC_SPECIES
Sc 44.96 Sc.upf
H 1.01 H.upf
Cu 63.55 Cu.upf
Ga 69.72 Ga.upf
CELL_PARAMETERS angstrom
4.498 0.000 0.000
0.000 4.498 0.000
0.000 0.000 3.638
ATOMIC_POSITIONS angstrom
Sc 0.000 2.249 0.000
Sc 2.249 0.000 0.000
H 0.000 0.000 0.000
Cu 0.000 0.000 1.819
Ga 2.249 2.249 1.819
! * symmetry: No. 123

***

! PBE-GGA MnCrW2, optimized geometry; values from VASP
&SYSTEM
  ibrav = 0, nat = 4, ntyp = 3
/
ATOMIC_SPECIES
Cr 52.00 Cr.upf
Mn 54.94 Mn.upf
W 183.84 W.upf
CELL_PARAMETERS angstrom
3.013 0.000 0.000
0.000 3.013 0.000
0.000 0.000 6.032
ATOMIC_POSITIONS angstrom
Cr 1.506 1.506 1.508
Mn 1.506 1.506 4.524
W 0.000 0.000 0.013
W 0.000 0.000 3.003
! * symmetry: No. 123
! * ΔE_f: 0.3 eV per formula unit

***

! PBE-GGA KAlZn2, optimized geometry; values from VASP
&SYSTEM
  ibrav = 0, nat = 8, ntyp = 3
/
ATOMIC_SPECIES
Zn 65.41 Zn.upf
K 39.10 K.upf
Al 26.98 Al.upf
CELL_PARAMETERS angstrom
5.401 0.000 0.000
0.000 5.401 0.000
2.700 2.700 8.436
ATOMIC_POSITIONS angstrom
Zn 2.701 1.350 2.109
Zn 2.700 4.051 2.109
Zn 4.051 5.401 6.327
Zn 6.751 5.401 6.327
K 0.000 0.000 0.000
K 5.401 2.700 4.218
Al 2.700 2.700 0.000
Al 2.700 5.401 4.218
! * symmetry: No. 141
! * ΔE_f: 0.8 eV per formula unit

***

! PBE-GGA Pr7Tm3Sc, optimized geometry; values from VASP
&SYSTEM
  ibrav = 0, nat = 22, ntyp = 3
/
ATOMIC_SPECIES
Pr 140.91 Pr.upf
Tm 168.93 Tm.upf
Sc 44.96 Sc.upf
CELL_PARAMETERS angstrom
9.989 -2.515 -0.386
-6.223 7.483 0.281
-0.608 0.041 12.542
ATOMIC_POSITIONS angstrom
Pr -5.038 6.454 3.996
Pr 4.138 3.372 9.745
Pr 7.030 -0.423 5.700
Pr -0.767 3.160 1.475
Pr 6.020 -1.052 11.962
Pr -0.472 4.112 7.717
Pr 1.589 1.358 8.167
Pr 2.509 1.905 1.963
Pr 2.886 0.688 11.401
Pr 3.648 0.931 5.280
Pr -3.102 5.687 1.193
Pr -3.798 5.430 7.292
Pr 1.645 5.187 3.086
Pr 8.217 -1.339 9.163
Tm -2.587 4.499 10.582
Tm -6.197 7.448 0.543
Tm 2.867 4.268 6.408
Tm -1.733 5.006 4.400
Tm 4.928 -0.022 8.588
Tm 5.700 0.443 2.481
Sc 0.630 3.218 11.127
Sc 0.400 2.244 4.824
! * symmetry: No. 1
! * ΔE_f: 0.7 eV per formula unit

***

! PBE-GGA CsCoBi2Te, optimized geometry; values from VASP
&SYSTEM
  ibrav = 0, nat = 5, ntyp = 4
/
ATOMIC_SPECIES
Cs 132.91 Cs.upf
Te 127.60 Te.upf
Co 58.93 Co.upf
Bi 208.98 Bi.upf
CELL_PARAMETERS angstrom
-5.073 0.350 0.773
-0.911 -0.106 -5.933
-0.332 -5.131 0.142
ATOMIC_POSITIONS angstrom
Cs -3.158 -2.444 -2.509
Te -0.456 -0.053 -2.967
Co 0.000 0.000 0.000
Bi -0.166 -2.566 0.071
Bi -2.537 0.175 0.386
! * symmetry: No. 123
! * formation energy from raw total energies: 82 meV per atom

***

! PBE-GGA Cu4Pd2Pt5, optimized geometry; values from VASP
&SYSTEM
  ibrav = 0, nat = 11, ntyp = 3
/
ATOMIC_SPECIES
Cu 63.55 Cu.upf
Pd 106.42 Pd.upf
Pt 195.08 Pt.upf
CELL_PARAMETERS angstrom
2.616 6.739 -0.973
-2.616 6.739 -0.973
0.000 0.466 4.626
ATOMIC_POSITIONS angstrom
Cu 0.000 5.760 1.134
Cu 0.000 8.184 1.547
Cu 0.000 10.359 2.615
Cu 0.000 3.585 0.066
Pd 0.000 2.934 2.471
Pd 0.000 11.010 0.210
Pt -1.308 5.877 3.425
Pt 1.308 8.067 -0.744
Pt 0.000 0.233 2.313
Pt 1.308 5.877 3.425
Pt -1.308 8.067 -0.744
! * symmetry: No. 12
! * ΔE_f: 0.7 eV per formula unit

***

! PBE-GGA MgCdP3, optimized geometry; values from VASP
&SYSTEM
  ibrav = 0, nat = 5, ntyp = 3
/
ATOMIC_SPECIES
P 30.97 P.upf
Mg 24.30 Mg.upf
Cd 112.41 Cd.upf
CELL_PARAMETERS angstrom
-0.383 1.420 -4.584
-3.884 -2.793 -0.541
-2.819 3.655 1.368
ATOMIC_POSITIONS angstrom
P -1.942 -1.397 -0.270
P -1.410 1.828 0.684
P -0.191 0.710 -2.292
Mg 0.000 0.000 0.000
Cd -3.543 1.141 -1.879
! * symmetry: No. 221
! * ΔE_f: 4.3 eV per formula unit

***

! PBE-GGA Ho7CoSe5, optimized geometry; values from VASP
&SYSTEM
  ibrav = 0, nat = 26, ntyp = 3
/
ATOMIC_SPECIES
Ho 164.93 Ho.upf
Co 58.93 Co.upf
Se 78.96 Se.upf
CELL_PARAMETERS angstrom
-0.486 2.151 -3.218
4.180 -5.284 -1.798
-19.392 -13.310 -5.967
ATOMIC_POSITIONS angstrom
Ho -1.298 -7.092 -4.544
Ho -14.359 -9.333 -6.433
Ho 0.140 -0.684 -2.843
Ho -15.802 -15.933 -8.262
Ho -7.677 -10.164 -5.633
Ho -8.202 -6.219 -5.282
Ho -1.858 -4.220 -2.540
Ho -13.705 -12.328 -8.534
Ho -11.210 -10.424 -7.638
Ho -4.567 -5.893 -3.249
Ho 0.889 -3.982 -5.160
Ho -16.095 -12.475 -5.907
Ho -11.270 -8.816 -4.189
Ho -4.328 -7.223 -6.538
Co -2.852 -4.993 -5.271
Co -13.238 -11.729 -5.839
Se -19.290 -13.374 -6.025
Se -16.469 -13.197 -8.697
Se 0.858 -3.377 -2.387
Se -6.761 -4.110 -4.090
Se -9.099 -12.270 -6.826
Se -6.047 -9.691 -7.928
Se -6.160 -8.013 -4.425
Se -9.659 -8.337 -6.478
Se -13.083 -15.190 -8.176
Se -2.570 -1.413 -2.921
! * symmetry: No. 36
! * formation energy from raw total energies: -1365 meV per atom

***

! PBE-GGA Hf2Sc3Al2, optimized geometry; values from VASP
&SYSTEM
  ibrav = 0, nat = 7, ntyp = 3
/
ATOMIC_SPECIES
Hf 178.49 Hf.upf
Sc 44.96 Sc.upf
Al 26.98 Al.upf
CELL_PARAMETERS angstrom
-3.196 -0.965 3.338
-1.418 -1.889 -1.904
4.285 -8.299 5.042
ATOMIC_POSITIONS angstrom
Hf -0.608 -6.289 4.276
Hf 0.280 -4.863 2.200
Sc -1.497 -3.223 4.312
Sc 0.000 0.000 0.000
Sc 2.586 -6.041 4.068
Al 1.138 -8.609 5.277
Al -1.467 -2.543 1.199
! * symmetry: No. 65
! * ΔE_f: -0.7 eV per formula unit

***

! PBE-GGA Cr3GeBi, optimized geometry; values from VASP
&SYSTEM
  ibrav = 0, nat = 5, ntyp = 3
/
ATOMIC_SPECIES
Cr 52.00 Cr.upf
Ge 72.64 Ge.upf
Bi 208.98 Bi.upf
CELL_PARAMETERS angstrom
-5.026 -0.839 -0.852
0.918 -0.352 -5.072
0.766 -5.086 0.492
ATOMIC_POSITIONS angstrom
Cr 0.459 -0.176 -2.536
Cr 0.383 -2.543 0.246
Cr -2.513 -0.420 -0.426
Ge -1.671 -3.138 -2.716
Bi 0.000 0.000 0.000
! * symmetry: No. 221
! * ΔE_f: 7.1 eV per formula unit

***

! PBE-GGA AcPbCl6, optimized geometry; values from VASP
&SYSTEM
  ibrav = 0, nat = 8, ntyp = 3
/
ATOMIC_SPECIES
Ac 227.00 Ac.upf
Pb 207.20 Pb.upf
Cl 35.45 Cl.upf
CELL_PARAMETERS angstrom
-6.593 0.104 2.154
-2.027 -4.150 5.174
-1.396 3.289 6.742
ATOMIC_POSITIONS angstrom
Ac -5.008 -0.379 7.035
Pb 0.000 0.000 0.000
Cl -2.378 0.798 7.374
Cl -6.219 2.255 7.123
Cl -4.725 -0.131 4.158
Cl -3.797 -3.012 6.947
Cl -7.638 -1.555 6.696
Cl -5.291 -0.626 9.912
! * symmetry: No. 148
! * formation energy from raw total energies: -1542 meV per atom

***

! PBE-GGA BaGa2PbAu5, optimized geometry; values from VASP
&SYSTEM
  ibrav = 0, nat = 9, ntyp = 4
/
ATOMIC_SPECIES
Ba 137.33 Ba.upf
Ga 69.72 Ga.upf
Pb 207.20 Pb.upf
Au 196.97 Au.upf
CELL_PARAMETERS angstrom
5.047 0.000 0.000
0.000 5.047 0.000
0.000 0.000 9.124
ATOMIC_POSITIONS angstrom
Ba 0.000 0.000 4.562
Ga 2.523 2.523 2.031
Ga 2.523 2.523 7.093
Pb 0.000 0.000 0.000
Au 0.000 2.523 1.674
Au 2.523 0.000 1.674
Au 0.000 2.523 7.450
Au 2.523 0.000 7.450
Au 2.523 2.523 4.562
! * symmetry: No. 123
! * ΔE_f: -2.5 eV per formula unit

***

! PBE-GGA Tc3MoIr, optimized geometry; values from VASP
&SYSTEM
  ibrav = 0, nat = 5, ntyp = 3
/
ATOMIC_SPECIES
Mo 95.94 Mo.upf
Ir 192.22 Ir.upf
Tc 98.00 Tc.upf
CELL_PARAMETERS angstrom
-1.375 -3.157 -3.089
-0.271 -3.169 3.359
-4.409 1.179 0.757
ATOMIC_POSITIONS angstrom
Mo -3.027 -2.574 0.513
Ir 0.000 0.000 0.000
Tc -0.135 -1.585 1.680
Tc -2.205 0.590 0.379
Tc -0.687 -1.579 -1.545
! * symmetry: No. 221
! * ΔE_f: 10.0 eV per formula unit

***

! PBE-GGA HfScB3, optimized geometry; values from VASP
&SYSTEM
  ibrav = 0, nat = 5, ntyp = 3
/
ATOMIC_SPECIES
Sc 44.96 Sc.upf
B 10.81 B.upf
Hf 178.49 Hf.upf
CELL_PARAMETERS angstrom
4.086 0.000 0.000
0.000 4.086 0.000
0.000 0.000 4.086
ATOMIC_POSITIONS angstrom
Sc 0.000 0.000 0.000
B 0.000 2.043 0.000
B 0.000 0.000 2.043
B 2.043 0.000 0.000
Hf 2.043 2.043 2.043
! * symmetry: No. 221
! * ΔE_f: 6.1 eV per formula unit

***

no.,electronic total energy (eV/atom),V (Å³/cell),ρ (g/cm3)
1,-9.588,77.1,9.17
2,-4.381,507.7,7.74
3,-3.195,156.9,4.07
4,-3.012,105.9,4.56
5,-5.493,109.4,11.18
6,-3.035,96.1,9.64
7,-5.071,73.6,5.06
8,-11.105,54.7,14.40
9,-1.648,246.1,2.66
10,-4.777,739.8,6.91
11,-3.690,158.8,7.71
12,-5.112,165.5,14.48
13,-2.891,111.6,3.42
14,-5.717,633.8,8.43
15,-6.730,148.2,6.12
16,-6.050,137.9,5.27
17,-3.904,270.5,3.97
18,-3.401,232.4,10.50
19,-8.153,99.0,9.76
20,-6.049,68.2,6.23